Record 1
Here is a geometry-optimized KBiI2Cl structure from Alexandria. Energies are from PBE.

a = 6.321 Å, b = 6.321 Å, c = 5.616 Å
α = 90.00°, β = 90.00°, γ = 90.00°
Fractional positions:
I1 0.000 0.500 0.000
I2 0.500 0.000 0.000
K1 0.500 0.500 0.500
Bi1 0.000 0.000 0.000
Cl1 0.000 0.000 0.500

As for the crystal system: tetragonal. As for the density of states at the Fermi level: 1.04 states/eV/cell. The calculation puts the uncorrected formation energy at -405 kJ/mol of formula units.

***

Record 2
Here is a geometry-optimized RbHPb structure from Alexandria. Energies are from PBE.

a = 5.819 Å, b = 5.827 Å, c = 7.567 Å
α = 112.50°, β = 90.07°, γ = 119.92°
Fractional positions:
Rb1 0.099 0.698 0.299
Rb2 0.901 0.302 0.701
H1 0.240 0.982 0.719
H2 0.760 0.018 0.281
Pb1 0.665 0.829 0.993
Pb2 0.335 0.171 0.007

The value obtained for the calculated total energy is -16.563 eV per cell. As for the crystal system: triclinic. As for the density of states at the Fermi level: 0.67 states/eV/cell.